(A)
Er5Tl3 | PBE | relaxed

Output
Fermi-level density of states	12.3	states/eV/cell
calculated density	10.6	Mg/m³
M_tot	0.0	μB per formula unit

Cell and atoms, written as extended XYZ:
```
16
Lattice="9.0302 -0.0248 0.0000 1.8878 8.8307 0.0000 -5.4590 -4.4030 5.6884" Properties=species:S:1:pos:R:3 pbc="T T T"
Er 5.3428 7.9632 1.0508
Er 7.7880 4.9315 2.8442
Er 0.1163 -3.5603 4.6377
Er 0.0000 0.0000 0.0000
Er -2.3290 -0.5285 2.8442
Er 1.0097 2.1643 2.8442
Er 2.0041 5.2704 1.0508
Er 4.4493 2.2387 2.8442
Er 5.4590 4.4030 0.0000
Er 3.4549 -0.8675 4.6377
Tl 8.1885 6.6045 0.0000
Tl 7.2446 2.1891 1.2782
Tl 4.6566 5.3979 2.8442
Tl 0.8024 -0.9949 2.8442
Tl 2.7295 2.2015 0.0000
Tl -1.7856 2.2139 4.4103
```


(B)
Er5Tl3 | PBE | relaxed

Output
Fermi-level density of states	19.6	states/eV/cell
calculated density	10.6	Mg/m³
M_tot	0.0	μB per formula unit

Cell and atoms, written as extended XYZ:
```
16
Lattice="8.9608 0.0000 0.0000 -4.4805 7.7602 0.0000 0.0000 0.0000 6.5565" Properties=species:S:1:pos:R:3 pbc="T T T"
Er 1.0487 1.8164 4.9174
Er -3.4317 5.9438 4.9174
Er -0.0002 5.1736 0.0000
Er 3.4317 5.9438 1.6391
Er 7.9120 1.8164 1.6391
Er -2.3830 7.7602 1.6391
Er 6.8634 0.0000 4.9174
Er 4.4806 2.5866 3.2782
Er -0.0002 5.1736 3.2782
Er 4.4806 2.5866 0.0000
Tl 1.8055 3.1273 1.6391
Tl -1.8055 3.1272 4.9174
Tl 2.6748 4.6330 4.9174
Tl 0.8694 7.7602 1.6391
Tl 3.6110 0.0000 4.9174
Tl 6.2858 4.6331 1.6391
```


Relative energy table, unit kJ/mol of atoms: (A) 2.1; (B) 0.0


(A)
Er5Tl2 | PBE | relaxed

Output
Fermi-level density of states	11.8	states/eV/cell
calculated density	10.5	Mg/m³
M_tot	0.0	μB per formula unit

Cell and atoms, written as extended XYZ:
```
14
Lattice="-0.8869 1.8104 4.9633 6.1035 -6.1226 3.3240 5.2807 5.4434 -3.9330" Properties=species:S:1:pos:R:3 pbc="T T T"
Er 7.0553 -1.6807 3.3229
Er 3.4419 2.8120 1.0314
Er 3.9512 -0.6165 2.3747
Er 0.8605 -0.1724 4.5546
Er 3.9382 3.9028 -2.1672
Er 3.5612 2.2836 4.1365
Er 6.5589 -2.7715 6.5215
Er 6.9360 -1.1523 0.2177
Er 4.3561 -4.1397 3.7327
Er 6.5459 1.7478 1.9795
Tl 1.1579 0.7387 1.3850
Tl 9.3393 0.3926 2.9693
Tl 3.7668 -1.4186 5.5252
Tl 6.7304 2.5499 -1.1709
```


(B)
Er5Tl2 | PBE | relaxed

Output
Fermi-level density of states	13.6	states/eV/cell
calculated density	10.3	Mg/m³
M_tot	0.4	μB per formula unit

Cell and atoms, written as extended XYZ:
```
14
Lattice="-2.7479 2.5122 0.4090 -3.4893 -3.8007 -0.0979 2.7811 -3.0801 20.4530" Properties=species:S:1:pos:R:3 pbc="T T T"
Er -3.0593 -2.8020 13.8072
Er -1.5728 -0.5670 10.0668
Er -0.9690 -1.3496 18.9300
Er -2.4871 -3.0190 1.8342
Er -3.6576 -2.0265 5.0246
Er 0.2015 -2.3421 15.7395
Er -1.8833 -3.8015 10.6974
Er -2.1750 0.2136 1.2261
Er -0.3968 -1.5666 6.9570
Er -1.2810 -4.5821 19.5380
Tl -3.4470 -2.2994 8.1156
Tl -2.8470 -3.0771 16.9237
Tl -0.0090 -2.0691 12.6485
Tl -0.6091 -1.2914 3.8404
```


Relative energy table, unit kJ/mol of atoms: (A) 0.0; (B) 1.7


(A)
Er2Tl3 | PBE | relaxed

Output
Fermi-level density of states	5.1	states/eV/cell
calculated density	11.4	Mg/m³
M_tot	0.0	μB per formula unit

Cell and atoms, written as extended XYZ:
```
10
Lattice="-2.6991 -1.8764 1.6168 2.4161 -1.4677 2.3299 -3.0680 15.6493 13.0401" Properties=species:S:1:pos:R:3 pbc="T T T"
Tl -1.5340 7.8247 6.5200
Tl -0.9334 4.7611 3.9673
Tl -0.3407 1.7378 1.4480
Tl -2.1346 10.8882 9.0728
Tl -0.1415 -1.6721 1.9734
Tl -2.7274 13.9116 11.5921
Er -0.7743 1.5557 4.6630
Er -1.3738 4.6135 7.2110
Er -1.9773 7.6916 9.7758
Er -2.5767 10.7495 12.3238
```


(B)
Er2Tl3 | PBE | relaxed

Output
Fermi-level density of states	9.5	states/eV/cell
calculated density	11.1	Mg/m³
M_tot	0.0	μB per formula unit

Cell and atoms, written as extended XYZ:
```
20
Lattice="3.7153 0.0000 0.0000 0.0000 12.0728 0.0000 0.0000 0.0000 12.6292" Properties=species:S:1:pos:R:3 pbc="T T T"
Tl 2.7865 5.4981 2.1997
Tl 0.9288 7.9593 7.3383
Tl 0.9288 11.5345 4.1149
Tl 0.9288 6.5747 10.4295
Tl 0.9288 10.1500 1.0237
Tl 2.7865 1.9228 11.6055
Tl 2.7865 0.5383 8.5143
Tl 2.7865 8.9464 3.3758
Tl 0.9288 2.9100 2.9389
Tl 2.7865 4.1136 5.2909
Tl 2.7865 9.1628 9.6904
Tl 0.9288 3.1264 9.2535
Er 0.9288 4.3119 12.5122
Er 0.9288 6.6282 4.5659
Er 2.7865 10.3483 6.4316
Er 0.9288 1.7245 6.1976
Er 2.7865 7.7609 0.1170
Er 0.9288 11.4811 10.8805
Er 2.7865 0.5917 1.7487
Er 2.7865 5.4447 8.0633
```


Relative energy table, unit kJ/mol of atoms: (A) 0.0; (B) 4.0


(A)
Er6Tm3Tl | PBE | relaxed

Output
Fermi-level density of states	28.3	states/eV/cell
calculated density	9.4	Mg/m³
M_tot	0.0	μB per formula unit

Cell and atoms, written as extended XYZ:
```
20
Lattice="3.5149 0.0000 0.0000 0.0000 12.5479 -1.8685 0.0000 -6.1837 14.5868" Properties=species:S:1:pos:R:3 pbc="T T T"
Er 2.6362 6.4099 3.2394
Er 0.8787 -0.0457 9.4789
Er 0.8787 -3.7702 12.8260
Er 0.8787 2.1932 11.9775
Er 0.8787 7.8418 5.9751
Er 2.6362 6.6036 8.8077
Er 0.8787 -0.2394 3.9106
Er 2.6362 3.0852 9.2622
Er 2.6362 -1.4776 6.7432
Er 2.6362 4.1709 0.7408
Er 0.8787 3.2790 3.4561
Er 2.6362 10.1343 -0.1077
Tm 0.8787 1.6751 6.6489
Tm 2.6362 4.6890 6.0694
Tm 2.6362 0.9847 1.1180
Tm 0.8787 7.0437 0.3435
Tm 0.8787 5.3794 11.6003
Tm 2.6362 -0.6795 12.3748
Tl 2.6362 -2.8139 9.9392
Tl 0.8787 9.1780 2.7791
```


(B)
Er6Tm3Tl | PBE | relaxed

Output
Fermi-level density of states	29.4	states/eV/cell
calculated density	9.5	Mg/m³
M_tot	0.0	μB per formula unit

Cell and atoms, written as extended XYZ:
```
20
Lattice="3.4588 0.0000 0.0000 0.0000 12.1184 -3.2758 0.0000 1.1285 14.0112" Properties=species:S:1:pos:R:3 pbc="T T T"
Er 2.5941 1.9391 6.1734
Er 2.5941 4.2904 0.5223
Er 0.8647 3.0834 3.2494
Er 0.8647 11.3078 4.5621
Er 0.8647 3.7817 8.8886
Er 2.5941 10.1636 7.4860
Er 0.8647 6.5430 2.6558
Er 2.5941 9.4652 1.8468
Er 2.5941 6.7039 8.0797
Er 0.8647 8.9566 10.2131
Er 2.5941 9.8655 -1.6041
Er 0.8647 3.3815 12.3396
Tm 2.5941 8.1783 4.9789
Tm 2.5941 1.0166 1.1670
Tm 0.8647 7.1098 -0.5397
Tm 0.8647 12.2304 9.5684
Tm 2.5941 6.1372 11.2752
Tm 0.8647 5.0687 5.7566
Tl 2.5941 1.2057 10.0291
Tl 0.8647 12.0413 0.7064
```


Relative energy table, unit kJ/mol of atoms: (A) 0.0; (B) 2.6


(A)
Er2Tm4Tl | PBE | relaxed

Output
Fermi-level density of states	39.3	states/eV/cell
calculated density	9.8	Mg/m³
M_tot	0.0	μB per formula unit

Cell and atoms, written as extended XYZ:
```
28
Lattice="3.5026 0.1389 -0.2640 0.8134 22.3310 -0.0176 -0.9672 -0.0436 10.6426" Properties=species:S:1:pos:R:3 pbc="T T T"
Tm 1.5374 11.7782 3.5052
Tm 2.1266 4.0000 6.9644
Tm 1.5992 7.1105 1.8433
Tm 0.4273 1.0921 6.3121
Tm 3.2342 17.1060 5.8741
Tm 0.1146 5.3202 4.4868
Tm 1.7496 15.3158 8.5176
Tm 0.1810 12.3064 9.5010
Tm 2.8650 16.7259 0.9616
Tm 0.4839 5.7004 9.3993
Tm 1.2222 18.4263 3.3965
Tm 2.9216 21.3342 4.0488
Tm 3.1678 10.1199 0.8599
Tm 3.2431 21.7398 8.5910
Tm 1.8114 10.6481 6.8558
Tm 0.1057 0.6865 1.7699
Er 2.7194 20.2429 0.8079
Er 1.9619 7.2919 6.6475
Er 1.3870 15.1344 3.7135
Er -0.0528 8.8542 4.3237
Er 3.4440 4.1851 1.0989
Er 3.4016 13.5721 6.0372
Er -0.0951 18.2411 9.2621
Er 0.6294 2.1833 9.5530
Tl 3.0425 13.5334 1.1223
Tl 0.3063 8.8928 9.2387
Tl 1.4018 19.8614 6.5517
Tl 1.9470 2.5649 3.8092
```


(B)
Er2Tm4Tl | PBE | relaxed

Output
Fermi-level density of states	9.1	states/eV/cell
calculated density	9.6	Mg/m³
M_tot	0.0	μB per formula unit

Cell and atoms, written as extended XYZ:
```
7
Lattice="3.4287 0.0000 0.0000 0.0000 8.4617 0.1673 -1.7144 -3.7804 7.1424" Properties=species:S:1:pos:R:3 pbc="T T T"
Tm 1.7144 -0.7073 6.0928
Tm 0.0000 2.2543 5.2712
Tm 0.0000 5.3886 1.2169
Tm 1.7144 2.4271 2.0385
Tl 0.0000 0.0000 0.0000
Er 0.0000 -0.4508 3.1486
Er 1.7144 5.1321 4.1611
```


Relative energy table, unit kJ/mol of atoms: (A) 0.0; (B) 7.2


(A)
Er2TmTl | PBE | relaxed

Output
Fermi-level density of states	3.3	states/eV/cell
calculated density	10.2	Mg/m³
M_tot	0.0	μB per formula unit

Cell and atoms, written as extended XYZ:
```
4
Lattice="-2.2522 -2.1615 2.1721 -2.4772 -1.7948 -4.3545 6.1020 -2.2862 0.7227" Properties=species:S:1:pos:R:3 pbc="T T T"
Er 0.8124 -3.2377 -2.3795
Er 0.5601 -3.0048 0.9198
Tm -2.3647 -1.9781 -1.0912
Tl 0.0000 0.0000 0.0000
```


(B)
Er2TmTl | PBE | relaxed

Output
Fermi-level density of states	10.0	states/eV/cell
calculated density	10.1	Mg/m³
M_tot	0.2	μB per formula unit

Cell and atoms, written as extended XYZ:
```
8
Lattice="3.6453 0.0011 0.0000 -1.8196 6.4083 0.0000 0.0000 0.0000 9.9741" Properties=species:S:1:pos:R:3 pbc="T T T"
Tl -0.0024 3.1877 2.4935
Tl 1.8280 3.2217 7.4806
Er 1.8211 1.6488 0.3594
Er 0.0046 4.7606 5.3464
Er 0.0046 4.7606 9.6147
Er 1.8211 1.6488 4.6277
Tm 0.0010 0.5231 7.4806
Tm 1.8247 5.8863 2.4935
```


(C)
Er2TmTl | PBE | relaxed

Output
Fermi-level density of states	4.1	states/eV/cell
calculated density	10.0	Mg/m³
M_tot	0.0	μB per formula unit

Cell and atoms, written as extended XYZ:
```
4
Lattice="-3.2899 1.0850 -0.6300 -2.6797 -1.3368 1.8519 -0.8000 7.8486 7.8550" Properties=species:S:1:pos:R:3 pbc="T T T"
Tm -3.3848 3.7984 4.5384
Tl 0.0000 0.0000 0.0000
Er -1.7026 1.8310 2.2052
Er -5.0670 5.7658 6.8717
```


(D)
Er2TmTl | PBE | relaxed

Output
Fermi-level density of states	6.1	states/eV/cell
calculated density	10.5	Mg/m³
M_tot	1.2	μB per formula unit

Cell and atoms, written as extended XYZ:
```
4
Lattice="-3.8676 1.7686 -3.3473 -5.1692 0.0104 1.6030 -2.5123 4.6873 1.0042" Properties=species:S:1:pos:R:3 pbc="T T T"
Er -2.8873 1.6166 -0.1850
Er -8.6619 4.8497 -0.5550
Tm 0.0000 0.0000 0.0000
Tl -5.7746 3.2332 -0.3700
```


Relative energy table, unit kJ/mol of atoms: (A) 0.0; (B) 0.9; (C) 5.7; (D) 14.6


(A)
Er3TmTl4 | PBE | relaxed

Output
Fermi-level density of states	5.4	states/eV/cell
calculated density	11.6	Mg/m³
M_tot	0.0	μB per formula unit

Cell and atoms, written as extended XYZ:
```
8
Lattice="-0.1943 -3.5330 -1.2614 0.5927 -1.2761 3.4830 -14.8396 -0.0754 2.4975" Properties=species:S:1:pos:R:3 pbc="T T T"
Tl -9.2825 -0.0471 1.5622
Tl -5.5571 -0.0282 0.9352
Tl -13.0029 -0.0660 2.1884
Tl -1.8366 -0.0093 0.3091
Er -7.2206 -2.4422 2.3595
Er -3.4981 -2.4233 1.7330
Er -10.9432 -2.4611 2.9860
Tm 0.1992 -2.4046 1.1108
```


(B)
Er3TmTl4 | PBE | relaxed

Output
Fermi-level density of states	13.6	states/eV/cell
calculated density	11.3	Mg/m³
M_tot	0.0	μB per formula unit

Cell and atoms, written as extended XYZ:
```
16
Lattice="-1.7336 0.2838 6.3343 -6.1672 -1.9254 -1.6016 2.6803 -9.5513 1.1614" Properties=species:S:1:pos:R:3 pbc="T T T"
Er -1.8531 -2.7120 3.4650
Er -0.5140 -7.4837 4.0452
Er -7.5777 -1.6942 3.5553
Er 0.7948 -4.6868 2.5701
Er -4.0644 -3.8106 -0.5017
Er -2.7231 -8.5902 0.0794
Tl -3.5941 -8.4468 3.2449
Tl -6.2380 -6.4697 4.1376
Tl -4.9339 -3.6725 2.6644
Tl -3.6287 -0.8734 1.1919
Tl 0.3573 -7.6271 0.8789
Tl -3.1559 -5.5073 4.9396
Tl -0.5457 0.0890 1.9909
Tl -0.9833 -2.8501 0.2980
Tm -4.4939 -0.7311 4.3586
Tm -2.2902 -5.6496 1.7713
```


Relative energy table, unit kJ/mol of atoms: (A) 0.0; (B) 10.9


(A)
Er6TmTl | PBE | relaxed

Output
Fermi-level density of states	11.3	states/eV/cell
calculated density	9.5	Mg/m³
M_tot	0.0	μB per formula unit

Cell and atoms, written as extended XYZ:
```
8
Lattice="8.5264 0.3564 -0.1016 4.5397 7.8991 0.0022 4.1960 2.8441 3.6426" Properties=species:S:1:pos:R:3 pbc="T T T"
Er 3.4842 4.3731 0.9670
Er 2.9779 0.8709 0.6261
Er 6.7808 2.8186 0.8485
Er 10.4814 8.2811 2.6946
Er 14.2842 10.2287 2.9170
Er 13.7779 6.7266 2.5761
Tl 0.0000 0.0000 0.0000
Tm 8.6311 5.5498 1.7716
```


(B)
Er6TmTl | PBE | relaxed

Output
Fermi-level density of states	8.7	states/eV/cell
calculated density	9.8	Mg/m³
M_tot	0.0	μB per formula unit

Cell and atoms, written as extended XYZ:
```
8
Lattice="-4.5415 -1.5138 -0.8562 1.2963 -4.5424 1.1556 -2.3621 1.7337 9.4638" Properties=species:S:1:pos:R:3 pbc="T T T"
Er -2.8036 -2.1613 4.8816
Er -1.1168 -0.9759 7.6490
Er 0.0509 -1.8329 2.9705
Er -1.6226 -3.0281 0.1497
Er -4.0356 0.5384 6.6431
Er -2.8679 -0.3186 1.9646
Tm 0.0000 0.0000 0.0000
Tl -1.1810 0.8668 4.7319
```


Relative energy table, unit kJ/mol of atoms: (A) 9.7; (B) 0.0


(A)
Er2Tm5Tl | PBE | relaxed

Output
Fermi-level density of states	10.8	states/eV/cell
calculated density	9.7	Mg/m³
M_tot	0.0	μB per formula unit

Cell and atoms, written as extended XYZ:
```
8
Lattice="-1.7232 -2.1616 2.0788 3.7258 -8.6416 -5.8974 6.1058 7.7451 2.9654" Properties=species:S:1:pos:R:3 pbc="T T T"
Tl 0.0000 0.0000 0.0000
Tm 1.6282 -2.7539 0.0680
Tm 4.5345 4.2088 2.1586
Tm 3.5739 -7.2669 -3.0119
Tm 6.4802 -0.3043 -0.9213
Tm 1.8629 -4.3208 -2.9487
Er 2.9339 0.4211 1.2365
Er 5.1746 -3.4792 -2.0897
```


(B)
Er2Tm5Tl | PBE | relaxed

Output
Fermi-level density of states	24.2	states/eV/cell
calculated density	9.9	Mg/m³
M_tot	0.1	μB per formula unit

Cell and atoms, written as extended XYZ:
```
16
Lattice="4.9008 0.0000 0.0000 0.0000 6.8748 0.0000 0.0000 0.0000 13.8400" Properties=species:S:1:pos:R:3 pbc="T T T"
Er 2.4504 1.7460 8.6671
Er 2.4504 5.1288 5.1729
Er 2.4504 1.6914 1.7471
Er 2.4504 5.1834 12.0929
Tm 2.4504 5.1094 8.6636
Tm 0.0000 6.8599 10.3156
Tm 0.0000 3.4374 6.9200
Tm 0.0000 3.4225 10.4445
Tm 2.4504 1.7653 5.1764
Tm 2.4504 5.2027 1.7436
Tm 0.0000 3.4522 3.3956
Tm 2.4504 1.6721 12.0964
Tm 0.0000 0.0149 3.5245
Tm 0.0000 0.0000 0.0000
Tl 0.0000 3.4374 0.0000
Tl 0.0000 0.0000 6.9200
```


Relative energy table, unit kJ/mol of atoms: (A) 5.4; (B) 0.0